Pr6SnBr8 | PBE | relaxed

Cell: 7.345 7.345 11.886 Å, 72.00 72.00 60.00°
Positions (direct):
Pr1 0.947 0.603 0.161
Pr2 0.711 0.053 0.839
Pr3 0.397 0.711 0.839
Pr4 0.603 0.289 0.161
Pr5 0.289 0.947 0.161
Pr6 0.053 0.397 0.839
Sn1 0.000 0.000 0.000
Br1 0.787 0.432 0.672
Br2 0.890 0.213 0.328
Br3 0.568 0.890 0.328
Br4 0.333 0.333 0.000
Br5 0.667 0.667 0.000
Br6 0.432 0.110 0.672
Br7 0.110 0.787 0.672
Br8 0.213 0.568 0.328

Computed properties:
Uncorrected energy ... -4.495 eV per atom
DOS at the Fermi energy ... 0.416 states/eV per atom
Total magnetization ... 0.000 μB per cell
Space-group type ... R-3
V ... 34.587 A^3/atom
Crystal system ... trigonal
Uncorrected formation energy ... -1.42 eV per atom